Record 1
A relaxed structure of BePd3Rh, computed with GGA-PBEsol.

## Properties
**Energy of formation**: 1.556 eV/atom

Geometry as POSCAR:
```
BePd3Rh
1.0
4.679 0.000 0.000
0.000 4.679 0.000
0.000 0.000 4.679
Pd Rh Be
3 1 1
direct
0.500 0.000 0.000 Pd
0.000 0.500 0.000 Pd
0.000 0.000 0.500 Pd
0.000 0.000 0.000 Rh
0.500 0.500 0.500 Be
```

Record 2
A relaxed structure of BaSr2Br2, computed with GGA-PBEsol.

## Properties
**Formation energy from raw total energies**: -1.09 eV per atom

Geometry as POSCAR:
```
BaSr2Br2
1.0
5.365 0.000 0.000
0.000 5.365 0.000
-2.683 -2.683 7.497
Sr Br Ba
2 2 1
direct
0.639 0.639 0.279 Sr
0.361 0.361 0.721 Sr
0.250 0.750 0.500 Br
0.750 0.250 0.500 Br
0.000 0.000 0.000 Ba
```

Record 3
A relaxed structure of LiMnAl2, computed with GGA-PBEsol.

## Properties
**Energy of formation**: -0.032 eV/atom

Geometry as POSCAR:
```
LiMnAl2
1.0
-2.359 -0.017 1.384
-2.154 -1.366 -0.986
1.085 -7.666 4.458
Mn Li Al
1 1 2
direct
0.000 0.000 0.000 Mn
0.500 0.500 0.500 Li
0.257 0.257 0.229 Al
0.743 0.743 0.771 Al
```

Record 4
A relaxed structure of CuNi2Ir, computed with GGA-PBEsol.

## Properties
**Energy of formation**: 0.060 eV/atom

Geometry as POSCAR:
```
CuNi2Ir
1.0
2.592 0.000 0.000
1.296 2.244 0.000
1.296 0.748 8.093
Ir Cu Ni
1 1 2
direct
0.000 0.000 0.000 Ir
0.500 0.500 0.500 Cu
0.752 0.752 0.745 Ni
0.248 0.248 0.255 Ni
```

Record 5
A relaxed structure of ZnIn2As, computed with GGA-PBEsol.

## Properties
**Energy of formation**: 0.100 eV/atom
**Energy above the lowest structure with this stoichiometry**: 0.004 eV per atom

Geometry as POSCAR:
```
ZnIn2As
1.0
-1.726 2.429 -1.439
-2.338 -2.196 -0.812
-3.630 1.388 6.699
In Zn As
2 1 1
direct
0.000 0.000 0.027 In
0.500 0.500 0.713 In
0.000 0.000 0.468 Zn
0.500 0.500 0.293 As
```

Record 6
A relaxed structure of TaCoRe, computed with GGA-PBEsol.

## Properties
**Energy of formation**: 0.838 eV/atom
**Energy above the lowest structure with this stoichiometry**: 0.911 eV per atom

Geometry as POSCAR:
```
TaCoRe
1.0
-3.989 -0.073 1.210
-1.714 -3.565 1.316
-0.947 -0.494 4.029
Co Re Ta
1 1 1
direct
0.500 0.500 0.500 Co
0.250 0.250 0.250 Re
0.000 0.000 0.000 Ta
```